CsDyCd2 | PBE | optimized geometry

Cell and atoms, written as extended XYZ:
```
4
Lattice="3.8790 0.0000 0.0000 0.0000 3.8790 0.0000 0.0000 0.0000 9.1542" Properties=species:S:1:pos:R:3 pbc="T T T"
Cs 0.0000 0.0000 0.0000
Dy 0.0000 0.0000 4.5771
Cd 1.9395 1.9395 2.9024
Cd 1.9395 1.9395 6.2518
```

Calculated values
M_tot: 0.00 μB/atom
D(E_F): 4.746 states/eV/cell
Energy relative to the elements: -55 meV/atom

=====

CsDyCd17 | PBE | optimized geometry

Cell and atoms, written as extended XYZ:
```
19
Lattice="5.1533 2.9753 5.0843 -5.1533 2.9753 5.0843 0.0000 -5.9505 5.0843" Properties=species:S:1:pos:R:3 pbc="T T T"
Cs 0.0000 0.0000 0.0000
Dy 0.0000 0.0000 10.1450
Cd -1.5510 -2.6099 5.1419
Cd -3.0357 -0.0383 5.1419
Cd -2.4330 -1.4047 8.0626
Cd 0.0000 0.0000 3.7894
Cd 0.0000 -3.1832 7.6194
Cd -2.7567 1.5916 7.6194
Cd 1.5510 -2.6099 5.1419
Cd -1.4847 2.6481 5.1419
Cd 0.0000 0.0000 6.8023
Cd -2.2026 -1.2717 12.4247
Cd 3.0357 -0.0382 5.1419
Cd 1.4847 2.6481 5.1419
Cd 2.4330 -1.4047 8.0626
Cd 0.0000 2.8094 8.0626
Cd 2.7567 1.5916 7.6194
Cd 2.2026 -1.2717 12.4247
Cd 0.0000 2.5434 12.4247
```

Calculated values
M_tot: 0.00 μB/atom
D(E_F): 7.628 states/eV/cell
Energy relative to the elements: -50 meV/atom

=====

CsDyCdF6 | PBE | optimized geometry

Cell and atoms, written as extended XYZ:
```
18
Lattice="-4.0317 4.1763 5.8772 4.0317 -4.1763 5.8772 4.0317 4.1763 -5.8772" Properties=species:S:1:pos:R:3 pbc="T T T"
Cs 0.0000 2.0881 0.9563
Cs 4.0317 2.0881 4.9209
Dy 4.0317 0.0000 0.0000
Dy 0.0000 0.0000 5.8772
Cd 2.0158 2.0881 -2.9386
Cd 2.0158 -2.0881 2.9386
F 2.4355 -0.4413 1.4089
F 5.6279 -0.4413 1.4089
F 4.0317 -2.0881 3.8512
F 4.0317 2.0881 0.7103
F 2.4355 3.7350 -1.4089
F 1.5962 -0.4413 4.4683
F 2.4355 4.6175 1.4089
F 1.5962 0.4413 7.2861
F 0.0000 2.0881 5.1669
F 0.0000 6.2644 2.0259
F -1.5962 4.6175 4.4683
F 1.5962 4.6175 4.4683
```

Calculated values
M_tot: 0.00 μB/atom
D(E_F): 0.000 states/eV/cell
Uncorrected formation energy: -3.187 eV/atom

=====

CsDyCdI6 | PBE | optimized geometry

Cell and atoms, written as extended XYZ:
```
9
Lattice="7.8609 0.0000 0.0000 -3.9304 6.8077 0.0000 0.0000 0.0000 8.7254" Properties=species:S:1:pos:R:3 pbc="T T T"
Cs 0.0000 0.0000 0.0000
Dy 0.0000 4.5385 4.3627
Cd 3.9304 2.2692 4.3627
I 2.9328 0.0051 6.1281
I 1.4708 2.5373 2.5973
I 4.9281 0.0051 2.5973
I 2.4684 4.2653 6.1281
I 6.3901 2.5373 6.1281
I 5.3924 4.2653 2.5973
```

Calculated values
M_tot: 0.00 μB/atom
D(E_F): 0.000 states/eV/cell
Uncorrected formation energy: -1.156 eV/atom

=====

Cs2DyCd2O4 | PBE | optimized geometry

Cell and atoms, written as extended XYZ:
```
9
Lattice="7.8050 -1.7802 0.0000 7.8050 1.7802 0.0000 -3.9831 0.0000 7.0322" Properties=species:S:1:pos:R:3 pbc="T T T"
Cs 1.9820 0.0000 0.0413
Cs 9.6450 0.0000 6.9909
Dy -1.9916 0.0000 3.5161
Cd 3.1043 0.0000 3.3619
Cd 8.5227 0.0000 3.6703
O -0.0498 0.0000 4.8489
O 4.9017 0.0000 4.7162
O 6.7253 0.0000 2.3160
O 11.6767 0.0000 2.1833
```

Calculated values
M_tot: 0.00 μB/atom
D(E_F): 2.063 states/eV/cell
Uncorrected formation energy: -1.607 eV/atom

=====

CsDyCdS3 | PBE | optimized geometry

Cell and atoms, written as extended XYZ:
```
12
Lattice="9.2343 0.0000 0.0000 0.0000 4.1682 0.0000 -3.6467 0.0000 9.6126" Properties=species:S:1:pos:R:3 pbc="T T T"
Cs 1.1792 1.0420 2.3146
Cs 4.4084 3.1261 7.2979
Dy -0.0930 3.1261 8.3482
Dy 5.6806 1.0420 1.2644
Cd -1.4567 1.0420 5.9166
Cd 7.0443 3.1261 3.6960
S -1.9765 1.0420 8.3554
S -0.0585 3.1261 5.3249
S 3.8770 3.1261 1.3849
S 1.7106 1.0420 8.2277
S 5.6461 1.0420 4.2877
S 7.5642 3.1261 1.2571
```

Calculated values
M_tot: 0.00 μB/atom
D(E_F): 0.000 states/eV/cell
Uncorrected formation energy: -1.415 eV/atom

=====

CsDyCdSe3 | PBE | optimized geometry

Cell and atoms, written as extended XYZ:
```
12
Lattice="9.5700 0.0000 0.0000 0.0000 4.3069 0.0000 -3.8210 0.0000 9.9209" Properties=species:S:1:pos:R:3 pbc="T T T"
Cs 1.1944 1.0767 2.4175
Cs 4.5545 3.2302 7.5035
Dy -0.1444 3.2302 8.6102
Dy 5.8933 1.0767 1.3107
Cd -1.5431 1.0767 6.0882
Cd 7.2921 3.2302 3.8328
Se -2.1390 1.0767 8.6356
Se -0.0210 3.2302 5.4868
Se 3.9824 3.2302 1.4792
Se 1.7665 1.0767 8.4417
Se 5.7700 1.0767 4.4341
Se 7.8879 3.2302 1.2854
```

Calculated values
M_tot: 0.00 μB/atom
D(E_F): 0.000 states/eV/cell
Uncorrected formation energy: -1.357 eV/atom

=====

Cs2DyCd2Se4 | PBE | optimized geometry

Cell and atoms, written as extended XYZ:
```
9
Lattice="8.5262 -2.1232 0.0000 8.5262 2.1232 0.0000 -3.3870 0.0000 8.1647" Properties=species:S:1:pos:R:3 pbc="T T T"
Cs 1.9617 0.0000 0.5124
Cs 11.7039 0.0000 7.6523
Dy -1.6935 0.0000 4.0823
Cd 3.7103 0.0000 3.9708
Cd 9.9553 0.0000 4.1939
Se 0.6942 0.0000 5.7694
Se 5.7223 0.0000 5.7767
Se 7.9433 0.0000 2.3879
Se 12.9714 0.0000 2.3953
```

Calculated values
M_tot: 0.00 μB/atom
D(E_F): 3.366 states/eV/cell
Uncorrected formation energy: -1.109 eV/atom

=====

CsDyCdSe3 | PBE | optimized geometry

Cell and atoms, written as extended XYZ:
```
12
Lattice="4.2960 0.0000 0.0000 0.0000 11.1957 0.0000 -2.1474 0.0000 8.1860" Properties=species:S:1:pos:R:3 pbc="T T T"
Cs 0.0033 2.7989 4.0004
Cs 2.1452 8.3968 4.1856
Dy 2.1480 0.0000 0.0000
Dy 2.1480 5.5979 0.0000
Cd 0.0004 8.3968 0.6529
Cd 2.1482 2.7989 7.5331
Se -0.0001 6.1004 1.9169
Se -0.0001 10.6932 1.9169
Se 0.0003 8.3968 7.1995
Se 2.1482 2.7989 0.9864
Se 2.1486 0.5025 6.2691
Se 2.1486 5.0953 6.2691
```

Calculated values
M_tot: 0.00 μB/atom
D(E_F): 0.000 states/eV/cell
Uncorrected formation energy: -1.371 eV/atom

=====

Cs3Dy2CdSe6 | PBE | optimized geometry

Cell and atoms, written as extended XYZ:
```
12
Lattice="3.6891 -6.3840 0.0000 3.6891 6.3840 0.0000 -2.4476 0.0000 8.3916" Properties=species:S:1:pos:R:3 pbc="T T T"
Cs 0.0000 0.0000 0.0000
Cs 3.6891 2.1038 0.0000
Cs 3.6891 -2.1038 0.0000
Dy 2.4653 4.2519 4.1958
Dy 2.4653 -4.2519 4.1958
Cd 2.4653 0.0000 4.1958
Se 1.2199 2.1510 2.6363
Se -0.0175 0.0000 5.7484
Se 1.2199 -2.1510 2.6363
Se 3.7106 2.1510 5.7553
Se 4.9481 0.0000 2.6432
Se 3.7106 -2.1510 5.7553
```

Calculated values
M_tot: 0.00 μB/atom
D(E_F): 13.201 states/eV/cell
Uncorrected formation energy: -1.312 eV/atom

=====

Cs3Dy2CdTe6 | PBE | optimized geometry

Cell and atoms, written as extended XYZ:
```
12
Lattice="3.9195 -6.7860 0.0000 3.9195 6.7860 0.0000 -2.6123 0.0000 8.9924" Properties=species:S:1:pos:R:3 pbc="T T T"
Cs 0.0000 0.0000 0.0000
Cs 3.9195 2.2575 0.0000
Cs 3.9195 -2.2575 0.0000
Dy 2.6134 4.5240 4.4962
Dy 2.6134 -4.5240 4.4962
Cd 2.6134 0.0000 4.4962
Te 1.3022 2.2702 2.8023
Te -0.0121 0.0000 6.1929
Te 1.3022 -2.2702 2.8023
Te 3.9246 2.2702 6.1901
Te 5.2388 0.0000 2.7996
Te 3.9246 -2.2702 6.1901
```

Calculated values
M_tot: 0.00 μB/atom
D(E_F): 9.810 states/eV/cell
Uncorrected formation energy: -1.051 eV/atom

=====

Cs2DyCd2Te4 | PBE | optimized geometry

Cell and atoms, written as extended XYZ:
```
9
Lattice="8.9308 -2.2710 0.0000 8.9308 2.2710 0.0000 -3.5267 0.0000 8.5805" Properties=species:S:1:pos:R:3 pbc="T T T"
Cs 2.0514 0.0000 0.5867
Cs 12.2836 0.0000 7.9937
Dy -1.7633 0.0000 4.2902
Cd 3.8311 0.0000 4.2718
Cd 10.5038 0.0000 4.3086
Te 0.8110 0.0000 6.0347
Te 6.0227 0.0000 6.1462
Te 8.3122 0.0000 2.4343
Te 13.5240 0.0000 2.5457
```

Calculated values
M_tot: 0.00 μB/atom
D(E_F): 4.432 states/eV/cell
Uncorrected formation energy: -0.892 eV/atom